Entry 1:
# K2ZrTl (PBE, optimized geometry)
data_K2ZrTl
_cell_length_a 3.4463
_cell_length_b 3.4463
_cell_length_c 39.5919
_cell_angle_alpha 90.00
_cell_angle_beta 90.00
_cell_angle_gamma 120.00
_space_group_name_H-M_alt 'R -3 m'
_space_group_IT_number 166
_space_group_name_Hall '-R 3 2"'
loop_
_atom_site_label
_atom_site_fract_x
_atom_site_fract_y
_atom_site_fract_z
_atom_site_occupancy
K1 0.0000 0.0000 0.2476 1
Zr1 0.0000 0.0000 0.0000 1
Tl1 0.0000 0.0000 0.5000 1
# **Total DFT energy (no corrections)**: -2.73 eV/atom
# **Crystal system**: trigonal

Entry 2:
# TlGeMo2C (PBE, optimized geometry)
data_TlGeMo2C
_cell_length_a 4.1754
_cell_length_b 4.1754
_cell_length_c 5.0056
_cell_angle_alpha 90.00
_cell_angle_beta 90.00
_cell_angle_gamma 90.00
_space_group_name_H-M_alt 'P 4/m m m'
_space_group_IT_number 123
_space_group_name_Hall '-P 4 2'
loop_
_atom_site_label
_atom_site_fract_x
_atom_site_fract_y
_atom_site_fract_z
_atom_site_occupancy
Tl1 0.0000 0.0000 0.0000 1
Ge1 0.5000 0.5000 0.0000 1
Mo1 0.0000 0.5000 0.5000 1
C1 0.0000 0.0000 0.5000 1
# **Total DFT energy (no corrections)**: -6.65 eV/atom
# **Crystal system**: tetragonal

Entry 3:
# Ac2DyS2O2 (PBE, optimized geometry)
data_Ac2DyS2O2
_cell_length_a 4.3853
_cell_length_b 4.3853
_cell_length_c 15.5889
_cell_angle_alpha 90.00
_cell_angle_beta 90.00
_cell_angle_gamma 90.00
_space_group_name_H-M_alt 'I 4/m m m'
_space_group_IT_number 139
_space_group_name_Hall '-I 4 2'
loop_
_atom_site_label
_atom_site_fract_x
_atom_site_fract_y
_atom_site_fract_z
_atom_site_occupancy
Ac1 0.0000 0.0000 0.1336 1
Dy1 0.0000 0.0000 0.5000 1
S1 0.0000 0.0000 0.3250 1
O1 0.0000 0.5000 0.0000 1
# **Formation energy from raw total energies**: -2597.3 meV per atom
# **Total DFT energy (no corrections)**: -7.02 eV/atom
# **Crystal system**: tetragonal

Entry 4:
# SrCdIn4 (PBE, optimized geometry)
data_SrCdIn4
_cell_length_a 4.7954
_cell_length_b 18.3842
_cell_length_c 7.6981
_cell_angle_alpha 90.00
_cell_angle_beta 90.00
_cell_angle_gamma 90.00
_space_group_name_H-M_alt 'C m c m'
_space_group_IT_number 63
_space_group_name_Hall '-C 2c 2'
loop_
_atom_site_label
_atom_site_fract_x
_atom_site_fract_y
_atom_site_fract_z
_atom_site_occupancy
Sr1 0.0000 0.1206 0.2500 1
Cd1 0.0000 0.2303 0.7500 1
In1 0.0000 0.0648 0.7500 1
In2 0.0000 0.3294 0.0531 1
In3 0.0000 0.5000 0.0000 1
# **Total DFT energy (no corrections)**: -2.49 eV/atom
# **Crystal system**: orthorhombic

Entry 5:
# ErTlIn2Cl6 (PBE, optimized geometry)
data_ErTlIn2Cl6
_cell_length_a 7.8021
_cell_length_b 7.8109
_cell_length_c 7.9930
_cell_angle_alpha 60.81
_cell_angle_beta 60.80
_cell_angle_gamma 60.05
_space_group_name_H-M_alt 'P 1'
_space_group_IT_number 1
loop_
_space_group_symop_operation_xyz
'x,y,z'
loop_
_atom_site_label
_atom_site_fract_x
_atom_site_fract_y
_atom_site_fract_z
_atom_site_occupancy
Er1 0.0000 0.0000 0.0000 1
Tl1 0.5100 0.5098 0.4706 1
In1 0.3018 0.3016 0.0952 1
In2 0.7936 0.7946 0.6184 1
Cl1 0.1196 0.7637 0.7913 1
Cl2 0.1888 0.6611 0.2545 1
Cl3 0.3258 0.1195 0.7921 1
Cl4 0.6604 0.8959 0.2539 1
Cl5 0.7636 0.3256 0.7917 1
Cl6 0.8956 0.1889 0.2547 1
# **Formation energy from raw total energies**: -1461.7 meV per atom
# **Total DFT energy (no corrections)**: -3.81 eV/atom
# **Crystal system**: triclinic